The following is a GGA+U calculation of Ac2PuVO6 after structural relaxation, from Alexandria.

Unit cell a=5.9407 b=6.0669 c=8.4614 alpha=90.00 beta=89.51 gamma=90.00
Site moments in Bohr magnetons follow the coordinates.
Fractional coordinates of all 20 atoms:
Ac1 0.9879 0.0481 0.7489  0.03
Ac2 0.4879 0.4519 0.2489  0.03
Ac3 0.5121 0.5481 0.7511  0.03
Ac4 0.0121 0.9519 0.2511  0.03
O1 0.1975 0.2055 0.4477  -0.04
O2 0.8985 0.5350 0.2543  -0.04
O3 0.6015 0.0350 0.2457  -0.04
O4 0.2932 0.7012 0.4449  -0.04
O5 0.3025 0.7055 0.0523  -0.04
O6 0.3985 0.9650 0.7543  -0.04
O7 0.1015 0.4650 0.7457  -0.04
O8 0.7068 0.2988 0.5551  -0.04
O9 0.2068 0.2012 0.0551  -0.04
O10 0.8025 0.7945 0.5523  -0.04
O11 0.7932 0.7988 0.9449  -0.04
O12 0.6975 0.2945 0.9477  -0.04
V1 0.5000 0.0000 0.0000  2.51
V2 0.0000 0.5000 0.5000  2.51
Pu1 0.0000 0.5000 0.0000  4.36
Pu2 0.5000 0.0000 0.5000  4.36

## Properties
**VASP energy**: -8.904 eV/atom
**Size of the total moment**: 7.00 μB/f.u.